This record from the Alexandria database describes a relaxed Ac2Sn4Pd9 crystal. The functional is PBE-GGA.

The calculation puts the formation energy at -0.62 eV/atom.

Unit cell a=4.5891 b=4.5891 c=17.4497 alpha=90.00 beta=90.00 gamma=120.00
Space group P-3m1 (No. 164)
One atom of each set of equivalent atoms:
1 Ac 0.3333 0.6667 0.2535 (multiplicity 2)
2 Sn 0.3333 0.6667 0.5980 (multiplicity 2)
3 Sn 0.3333 0.6667 0.9000 (multiplicity 2)
4 Pd 0.0000 0.0000 0.0000 (multiplicity 1)
5 Pd 0.0000 0.0000 0.1570 (multiplicity 2)
6 Pd 0.0000 0.0000 0.3627 (multiplicity 2)
7 Pd 0.3333 0.6667 0.0605 (multiplicity 2)
8 Pd 0.3333 0.6667 0.4448 (multiplicity 2)

***

This record from the Alexandria database describes a relaxed Cs2MoHCl6 crystal. The functional is PBE-GGA.

Unit cell a=7.5376 b=7.5376 c=10.6777 alpha=90.00 beta=90.00 gamma=90.00
Space group I4/mmm (No. 139)
One atom of each set of equivalent atoms:
1 Cs 0.0000 0.5000 0.2500 (multiplicity 4)
2 Mo 0.0000 0.0000 0.0000 (multiplicity 2)
3 H 0.0000 0.0000 0.5000 (multiplicity 2)
4 Cl 0.0000 0.0000 0.2253 (multiplicity 4)
5 Cl 0.2257 0.2257 0.0000 (multiplicity 8)

***

This record from the Alexandria database describes a relaxed Ac3In4Pd2 crystal. The functional is PBE-GGA.

The energy above the most stable polymorph in this dataset is 0 meV/atom. The calculation puts the formation energy at -0.64 eV/atom.

Unit cell a=12.1465 b=4.7717 c=9.6282 alpha=90.00 beta=113.31 gamma=90.00
Space group C2/m (No. 12)
One atom of each set of equivalent atoms:
1 Ac 0.0000 0.0000 0.0000 (multiplicity 2)
2 Ac 0.1850 0.5000 0.6340 (multiplicity 4)
3 In 0.0164 0.0000 0.3515 (multiplicity 4)
4 In 0.2440 0.5000 0.0887 (multiplicity 4)
5 Pd 0.1050 0.5000 0.2692 (multiplicity 4)

***

Number 1: raw total energy -5.346 eV/atom. Number 2: raw total energy -3.778 eV/atom. Number 3: raw total energy -4.382 eV/atom.